Here is a relaxed Tb2Nd5Y6 crystal from Alexandria. Energies are from PBE.

DOS at the Fermi energy, states/eV per atom: 1.277
Formation energy, eV/atom: 0.09
Magnetization, Bohr magnetons per cell: 0.0
V, Å³ per cell: 881

Lattice parameters (Å, degrees): 11.766 20.693 3.617 90.00 90.00 90.00
Atoms (fractional coordinates):
Tb 0.170 0.210 0.000
Tb 0.330 0.710 0.000
Tb 0.670 0.290 0.000
Tb 0.830 0.790 0.000
Nd 0.000 0.500 0.500
Nd 0.084 0.773 0.500
Nd 0.200 0.049 0.500
Nd 0.300 0.549 0.500
Nd 0.416 0.273 0.500
Nd 0.500 0.000 0.500
Nd 0.584 0.727 0.500
Nd 0.700 0.451 0.500
Nd 0.800 0.951 0.500
Nd 0.916 0.227 0.500
Y 0.059 0.919 0.000
Y 0.081 0.631 0.000
Y 0.176 0.363 0.500
Y 0.324 0.863 0.500
Y 0.419 0.131 0.000
Y 0.441 0.419 0.000
Y 0.559 0.581 0.000
Y 0.581 0.869 0.000
Y 0.676 0.137 0.500
Y 0.824 0.637 0.500
Y 0.919 0.369 0.000
Y 0.941 0.081 0.000